Record 1
CuTeI2N: relaxed, PBE.

It has space group P4/mmm (No. 123), with a = 4.9342 Å, b = 4.9342 Å, c = 4.8251 Å, α = 90.00°, β = 90.00° and γ = 90.00°. The distinct sites, in fractional coordinates, are Cu at (0.0000, 0.0000, 0.0000), Te at (0.5000, 0.5000, 0.0000), I at (0.0000, 0.5000, 0.5000) and N at (0.5000, 0.5000, 0.5000).

Its crystal system is tetragonal. For the uncorrected formation energy, the calculation gives 1.109 eV per atom.

Record 2
TiCuIN2: relaxed, PBE.

It has space group P4/mmm (No. 123), with a = 3.8581 Å, b = 3.8581 Å, c = 6.1497 Å, α = 90.00°, β = 90.00° and γ = 90.00°. The distinct sites, in fractional coordinates, are Ti at (0.0000, 0.0000, 0.0000), Cu at (0.5000, 0.5000, 0.5000), I at (0.0000, 0.0000, 0.5000) and N at (0.0000, 0.5000, 0.0000).

Its crystal system is tetragonal. For the uncorrected formation energy, the calculation gives 0.424 eV per atom.

no.,electronic total energy (eV per atom),polymorph energy (0 for the lowest one) (meV/atom)
1,-2.62,297
2,-5.61,0